[1]
Below is a geometry-optimized CaEuHo4 structure, with properties calculated at the GGA-PBE level.

Lattice parameters (Å, degrees): 6.735 6.735 6.735 60.00 60.00 60.00
Each line ends with the local moment (μB).
Fractional positions:
Eu: 0.000 0.000 0.000  -6.91
Ca: 0.250 0.250 0.250  0.01
Ho: 0.625 0.625 0.126  -0.07
Ho: 0.625 0.126 0.625  -0.07
Ho: 0.625 0.625 0.625  -0.07
Ho: 0.126 0.625 0.625  -0.07

Energy = -29.40 eV/cell

=====

[2]
Below is a geometry-optimized LiPm2NdHg4 structure, with properties calculated at the GGA-PBE level.

Lattice parameters (Å, degrees): 5.232 5.232 9.353 73.76 73.76 60.00
Fractional positions:
Li: 0.500 0.500 0.500
Pm: 0.756 0.756 0.731
Pm: 0.244 0.244 0.269
Nd: 0.000 0.000 0.000
Hg: 0.379 0.379 0.862
Hg: 0.873 0.873 0.380
Hg: 0.127 0.127 0.620
Hg: 0.621 0.621 0.138

Energy = -20.96 eV/cell

=====

[3]
Below is a geometry-optimized Mg4ZrCu structure, with properties calculated at the GGA-PBE level.

Lattice parameters (Å, degrees): 5.641 5.641 5.641 60.00 60.00 60.00
Each line ends with the local moment (μB).
Fractional positions:
Mg: 0.874 0.375 0.375  0.01
Mg: 0.375 0.375 0.874  0.01
Mg: 0.375 0.874 0.375  0.01
Mg: 0.375 0.375 0.375  0.01
Zr: 0.750 0.750 0.750  0.56
Cu: 0.000 0.000 0.000  0.03

Energy = -16.84 eV/cell

=====

[4]
Below is a geometry-optimized PmNd7 structure, with properties calculated at the GGA-PBE level.

Lattice parameters (Å, degrees): 7.354 7.354 7.354 60.00 60.00 60.00
Fractional positions:
Pm: 0.000 0.000 0.000
Nd: 0.500 0.500 0.000
Nd: 0.500 0.000 0.500
Nd: 0.000 0.500 0.500
Nd: 0.500 0.000 0.000
Nd: 0.000 0.500 0.000
Nd: 0.000 0.000 0.500
Nd: 0.500 0.500 0.500

Energy = -38.07 eV/cell

=====

[5]
Below is a geometry-optimized KSrBe2F8 structure, with properties calculated at the GGA-PBE level.

Lattice parameters (Å, degrees): 5.758 5.758 6.719 64.63 64.63 60.00
Each line ends with the local moment (μB).
Fractional positions:
K: 0.500 0.500 0.500  0.00
Sr: 0.000 0.000 0.000  0.00
Be: 0.240 0.240 0.281  -0.01
Be: 0.760 0.760 0.719  -0.01
F: 0.151 0.151 0.548  0.16
F: 0.513 0.291 0.196  0.11
F: 0.849 0.849 0.452  0.16
F: 0.000 0.513 0.196  0.11
F: 0.000 0.487 0.804  0.11
F: 0.291 0.000 0.196  0.11
F: 0.709 0.000 0.804  0.11
F: 0.487 0.709 0.804  0.11

Energy = -62.18 eV/cell
ΔE_f (raw) = -37.0 eV per formula unit

=====

[6]
Below is a geometry-optimized MgCuW2 structure, with properties calculated at the GGA-PBE level.

Lattice parameters (Å, degrees): 4.583 2.673 5.298 74.58 90.00 90.00
Fractional positions:
Cu: 0.500 0.250 0.250
Mg: 0.500 0.750 0.750
W: 0.000 0.027 0.003
W: 0.000 0.473 0.497

Energy = -29.92 eV/cell

=====

[7]
Below is a geometry-optimized BaLa2AgO5 structure, with properties calculated at the GGA-PBE level.

Lattice parameters (Å, degrees): 6.941 6.941 7.935 115.94 115.94 90.00
Each line ends with the local moment (μB).
Fractional positions:
Ba: 0.250 0.250 0.500  -0.01
Ba: 0.750 0.750 0.500  -0.01
La: 0.172 0.328 0.000  0.01
La: 0.672 0.172 0.000  0.01
La: 0.328 0.828 0.000  0.01
La: 0.828 0.672 0.000  0.01
Ag: 0.250 0.750 0.500  0.24
Ag: 0.750 0.250 0.500  0.24
O: 0.971 0.471 0.243  0.13
O: 0.728 0.228 0.757  0.13
O: 0.029 0.529 0.757  0.13
O: 0.228 0.029 0.757  0.13
O: 0.529 0.728 0.757  0.13
O: 0.772 0.971 0.243  0.13
O: 0.471 0.272 0.243  0.13
O: 0.272 0.772 0.243  0.13
O: 0.500 0.500 0.000  0.08
O: 0.000 0.000 0.000  0.08

Energy = -122.13 eV/cell
ΔE_f (raw) = -21.6 eV per formula unit

=====

[8]
Below is a geometry-optimized Pr2Zn4CdAg3 structure, with properties calculated at the GGA-PBE level.

Lattice parameters (Å, degrees): 4.239 4.239 11.895 90.00 90.00 90.00
Fractional positions:
Pr: 0.500 0.000 0.246
Pr: 0.000 0.500 0.754
Zn: 0.500 0.500 0.000
Zn: 0.000 0.000 0.000
Zn: 0.500 0.000 0.645
Zn: 0.000 0.500 0.355
Cd: 0.500 0.500 0.500
Ag: 0.000 0.000 0.500
Ag: 0.500 0.000 0.863
Ag: 0.000 0.500 0.137

Energy = -26.46 eV/cell